[1]
First-principles (PBE-GGA) data for a geometry-optimized SmTc4B4 structure, as listed in the Alexandria database.

The energy of formation from the pure elements comes out at -0.407 eV/atom. Its volume is 13.0 Å³ per atom. As for the total DFT energy (no corrections): -8.506 eV per atom. The calculation puts the density of states at the Fermi level at 5.736 states/eV/f.u.

It has space group P4_2/n (No. 86, origin choice 2), with a = 7.4200 Å, b = 7.4200 Å, c = 4.2391 Å, α = 90.00°, β = 90.00° and γ = 90.00°. Symmetry generates all atoms from Sm at (0.2500, 0.2500, 0.2500), Tc at (0.1166, 0.6262, 0.1197) and B at (0.0614, 0.9234, 0.1212).



[2]
First-principles (PBE-GGA) data for a geometry-optimized SmTcB2 structure, as listed in the Alexandria database.

The energy of formation from the pure elements comes out at -0.463 eV/atom. Its volume is 13.2 Å³ per atom. As for the total DFT energy (no corrections): -7.573 eV per atom. The calculation puts the density of states at the Fermi level at 0.824 states/eV/f.u. As for the energy relative to the lowest polymorph listed for this composition: 0.0 kJ/mol of formula units.

It has space group Pnma (No. 62), with a = 6.0496 Å, b = 5.3777 Å, c = 6.5145 Å, α = 90.00°, β = 90.00° and γ = 90.00°. Symmetry generates all atoms from Sm at (0.0106, 0.2500, 0.1567), Tc at (0.1813, 0.2500, 0.6859) and B at (0.1243, 0.5794, 0.4606).



[3]
First-principles (PBE-GGA) data for a geometry-optimized Sm2BTe structure, as listed in the Alexandria database.

Its volume is 25.7 Å³ per atom. For the uncorrected formation energy, the calculation gives -0.622 eV per atom. As for the total DFT energy (no corrections): -5.436 eV per atom. The calculation puts the density of states at the Fermi level at 4.933 states/eV/f.u.

It has space group R-3m (No. 166, hexagonal axes), with a = 4.0323 Å, b = 4.0323 Å, c = 21.9408 Å, α = 90.00°, β = 90.00° and γ = 120.00°. Symmetry generates all atoms from Sm at (0.0000, 0.0000, 0.2355), B at (0.0000, 0.0000, 0.5000) and Te at (0.0000, 0.0000, 0.0000).



[4]
First-principles (PBE-GGA) data for a geometry-optimized SmBTe structure, as listed in the Alexandria database.

Its volume is 23.2 Å³ per atom. For the uncorrected formation energy, the calculation gives -0.400 eV per atom. As for the total DFT energy (no corrections): -5.246 eV per atom. The calculation puts the density of states at the Fermi level at 1.224 states/eV/f.u.

It has space group C2/m (No. 12), with a = 10.3306 Å, b = 3.8709 Å, c = 6.9762 Å, α = 90.00°, β = 95.06° and γ = 90.00°. Symmetry generates all atoms from Sm at (0.1378, 0.0000, 0.3408), B at (0.0702, 0.5000, 0.5615) and Te at (0.1524, 0.0000, 0.8168).



Which value of total DFT energy (no corrections) does entry 3 give?
-5.436 eV per atom